Computed, not measured: Ac5Pd2RuO after structural relaxation at the PBE level of DFT.

## Properties
Total magnetization, μB per formula unit: 0.000
ΔE_f (raw), eV/atom: -1.00
Density of states at the Fermi level, states/eV/atom: 0.497
Mass density, g/cm3: 9.01

a = 4.3339 Å, b = 18.4855 Å, c = 13.4781 Å
α = 90.00°, β = 90.00°, γ = 90.00°
With the nearest neighbours (Å) after each atom.
Space group Cmc2_1 (No. 36)
Inequivalent atoms, fractional coordinates:
1 Ac 0.0000 0.0046 0.0000  1 O 2.38
2 Ac 0.0000 0.1468 0.2505  1 Ru 2.87
3 Ac 0.0000 0.1896 0.6194  1 O 2.61
4 Ac 0.0000 0.2107 0.9168  2 Ru 2.93
5 Ac 0.0000 0.4604 0.2407  2 O 2.44
6 Pd 0.0000 0.3771 0.5678  7 Ac 3.21-3.54
7 Pd 0.0000 0.3963 0.9176  5 Ac 3.15-3.43
8 Ru 0.0000 0.3012 0.2709  6 Ac 2.87-2.98
9 O 0.0000 0.0512 0.6588  4 Ac 2.38-2.61